(1)
The following is a PBE calculation of TaC4 after structural relaxation, from Alexandria.

Summary:
energy above the most stable polymorph in this dataset: 1.143 eV/atom

CIF file:
```
data_TaC4
_symmetry_space_group_name_H-M 'I 4/m'
_symmetry_Int_Tables_number 87
_symmetry_space_group_name_Hall '-I 4'
_cell_length_a 5.213
_cell_length_b 5.213
_cell_length_c 3.395
_cell_angle_alpha 90.00
_cell_angle_beta 90.00
_cell_angle_gamma 90.00
loop_
_atom_site_label
_atom_site_fract_x
_atom_site_fract_y
_atom_site_fract_z
Ta1 0.000 0.000 0.000
C1 0.091 0.393 0.500
```

(2)
The following is a PBE calculation of TaC after structural relaxation, from Alexandria.

Summary:
energy above the most stable polymorph in this dataset: 1.168 eV/atom

CIF file:
```
data_TaC
_symmetry_space_group_name_H-M 'P 6/m m m'
_symmetry_Int_Tables_number 191
_symmetry_space_group_name_Hall '-P 6 2'
_cell_length_a 5.4619
_cell_length_b 5.4619
_cell_length_c 3.1459
_cell_angle_alpha 90.00
_cell_angle_beta 90.00
_cell_angle_gamma 120.00
loop_
_atom_site_label
_atom_site_fract_x
_atom_site_fract_y
_atom_site_fract_z
Ta1 0.0000 0.5000 0.0000
C1 0.0000 0.0000 0.0000
C2 0.3333 0.6667 0.5000
```

(3)
The following is a PBE calculation of TaC after structural relaxation, from Alexandria.

Summary:
energy above the most stable polymorph in this dataset: 0.640 eV/atom

CIF file:
```
data_TaC
_symmetry_space_group_name_H-M 'P m m n'
_symmetry_Int_Tables_number 59
_cell_length_a 3.432
_cell_length_b 10.846
_cell_length_c 4.910
_cell_angle_alpha 90.00
_cell_angle_beta 90.00
_cell_angle_gamma 90.00
loop_
_symmetry_equiv_pos_as_xyz
'x,y,z'
'-x,-y,-z'
'-x+1/2,-y+1/2,z'
'x+1/2,y+1/2,-z'
'x+1/2,-y,-z'
'-x+1/2,y,z'
'-x,y+1/2,-z'
'x,-y+1/2,z'
loop_
_atom_site_label
_atom_site_fract_x
_atom_site_fract_y
_atom_site_fract_z
Ta1 0.250 0.110 0.052
Ta2 0.250 0.750 0.379
C1 0.250 0.250 0.355
C2 0.250 0.577 0.182
```

(4)
The following is a PBE calculation of Ta2C after structural relaxation, from Alexandria.

CIF file:
```
data_Ta2C
_symmetry_space_group_name_H-M 'P 63/m m c'
_symmetry_Int_Tables_number 194
_symmetry_space_group_name_Hall '-P 6c 2c'
_cell_length_a 4.2730
_cell_length_b 4.2730
_cell_length_c 5.1612
_cell_angle_alpha 90.00
_cell_angle_beta 90.00
_cell_angle_gamma 120.00
loop_
_atom_site_label
_atom_site_fract_x
_atom_site_fract_y
_atom_site_fract_z
Ta1 0.0000 0.0000 0.0000
Ta2 0.3333 0.6667 0.2500
C1 0.3333 0.6667 0.7500
```

(5)
The following is a PBE calculation of Ta2C after structural relaxation, from Alexandria.

CIF file:
```
data_Ta2C
_symmetry_space_group_name_H-M 'P a -3'
_symmetry_Int_Tables_number 205
_symmetry_space_group_name_Hall '-P 2ac 2ab 3'
_cell_length_a 5.479
_cell_length_b 5.479
_cell_length_c 5.479
_cell_angle_alpha 90.00
_cell_angle_beta 90.00
_cell_angle_gamma 90.00
loop_
_atom_site_label
_atom_site_fract_x
_atom_site_fract_y
_atom_site_fract_z
Ta1 0.145 0.145 0.145
C1 0.000 0.000 0.500
```

(6)
The following is a PBE calculation of Ta2C after structural relaxation, from Alexandria.

CIF file:
```
data_Ta2C
_symmetry_space_group_name_H-M 'I 41/a m d'
_symmetry_Int_Tables_number 141
_cell_length_a 2.830
_cell_length_b 2.830
_cell_length_c 20.959
_cell_angle_alpha 90.00
_cell_angle_beta 90.00
_cell_angle_gamma 90.00
loop_
_symmetry_equiv_pos_as_xyz
'x,y,z'
'-x,-y,-z'
'-y+1/4,x+3/4,z+1/4'
'y+1/4,-x+3/4,-z+1/4'
'-x+1/2,-y,z+1/2'
'x+1/2,y,-z+1/2'
'y+1/4,-x+1/4,z+3/4'
'-y+1/4,x+1/4,-z+3/4'
'x,-y,-z'
'-x,y,z'
'-y+1/4,-x+1/4,-z+3/4'
'y+1/4,x+1/4,z+3/4'
'-x+1/2,y,-z+1/2'
'x+1/2,-y,z+1/2'
'y+1/4,x+3/4,-z+1/4'
'-y+1/4,-x+3/4,z+1/4'
'x+1/2,y+1/2,z+1/2'
'-x+1/2,-y+1/2,-z+1/2'
'-y+3/4,x+1/4,z+3/4'
'y+3/4,-x+1/4,-z+3/4'
'-x,-y+1/2,z'
'x,y+1/2,-z'
'y+3/4,-x+3/4,z+1/4'
'-y+3/4,x+3/4,-z+1/4'
'x+1/2,-y+1/2,-z+1/2'
'-x+1/2,y+1/2,z+1/2'
'-y+3/4,-x+3/4,-z+1/4'
'y+3/4,x+3/4,z+1/4'
'-x,y+1/2,-z'
'x,-y+1/2,z'
'y+3/4,x+1/4,-z+3/4'
'-y+3/4,-x+1/4,z+3/4'
loop_
_atom_site_label
_atom_site_fract_x
_atom_site_fract_y
_atom_site_fract_z
Ta1 0.000 0.250 0.312
C1 0.000 0.250 0.875
```

(7)
The following is a PBE calculation of TaC2 after structural relaxation, from Alexandria.

Summary:
energy above the most stable polymorph in this dataset: 0.000 eV/atom

CIF file:
```
data_TaC2
_symmetry_space_group_name_H-M 'A m a 2'
_symmetry_Int_Tables_number 40
_cell_length_a 12.652
_cell_length_b 4.083
_cell_length_c 4.518
_cell_angle_alpha 90.00
_cell_angle_beta 90.00
_cell_angle_gamma 90.00
loop_
_symmetry_equiv_pos_as_xyz
'x,y,z'
'-x,-y,z'
'-x+1/2,y,z'
'x+1/2,-y,z'
'x,y+1/2,z+1/2'
'-x,-y+1/2,z+1/2'
'-x+1/2,y+1/2,z+1/2'
'x+1/2,-y+1/2,z+1/2'
loop_
_atom_site_label
_atom_site_fract_x
_atom_site_fract_y
_atom_site_fract_z
Ta1 0.120 0.104 0.000
C1 0.049 0.098 0.503
C2 0.250 0.272 0.318
C3 0.250 0.434 0.818
```

(8)
The following is a PBE calculation of TaC after structural relaxation, from Alexandria.

Summary:
energy above the most stable polymorph in this dataset: 0.766 eV/atom

CIF file:
```
data_TaC
_symmetry_space_group_name_H-M 'C 1 2/c 1'
_symmetry_Int_Tables_number 15
_cell_length_a 4.315
_cell_length_b 4.313
_cell_length_c 6.043
_cell_angle_alpha 90.00
_cell_angle_beta 110.59
_cell_angle_gamma 90.00
loop_
_symmetry_equiv_pos_as_xyz
'x,y,z'
'-x,-y,-z'
'-x,y,-z+1/2'
'x,-y,z+1/2'
'x+1/2,y+1/2,z'
'-x+1/2,-y+1/2,-z'
'-x+1/2,y+1/2,-z+1/2'
'x+1/2,-y+1/2,z+1/2'
loop_
_atom_site_label
_atom_site_fract_x
_atom_site_fract_y
_atom_site_fract_z
Ta1 0.000 0.124 0.250
C1 0.000 0.376 0.750
```

(9)
The following is a PBE calculation of Ta4C3 after structural relaxation, from Alexandria.

Summary:
energy above the most stable polymorph in this dataset: 0.649 eV/atom

CIF file:
```
data_Ta4C3
_symmetry_space_group_name_H-M 'P -4 3 m'
_symmetry_Int_Tables_number 215
_symmetry_space_group_name_Hall 'P -4 2 3'
_cell_length_a 4.700
_cell_length_b 4.700
_cell_length_c 4.700
_cell_angle_alpha 90.00
_cell_angle_beta 90.00
_cell_angle_gamma 90.00
loop_
_atom_site_label
_atom_site_fract_x
_atom_site_fract_y
_atom_site_fract_z
Ta1 0.234 0.234 0.766
C1 0.000 0.500 0.500
```

(10)
The following is a PBE calculation of Ta2C after structural relaxation, from Alexandria.

CIF file:
```
data_Ta2C
_symmetry_space_group_name_H-M 'P 6/m m m'
_symmetry_Int_Tables_number 191
_symmetry_space_group_name_Hall '-P 6 2'
_cell_length_a 4.5211
_cell_length_b 4.5211
_cell_length_c 2.6896
_cell_angle_alpha 90.00
_cell_angle_beta 90.00
_cell_angle_gamma 120.00
loop_
_atom_site_label
_atom_site_fract_x
_atom_site_fract_y
_atom_site_fract_z
Ta1 0.3333 0.6667 0.0000
C1 0.0000 0.0000 0.5000
```

(11)
The following is a PBE calculation of TaC2 after structural relaxation, from Alexandria.

Summary:
energy above the most stable polymorph in this dataset: 0.404 eV/atom

CIF file:
```
data_TaC2
_symmetry_space_group_name_H-M 'P -3 m 1'
_symmetry_Int_Tables_number 164
_symmetry_space_group_name_Hall '-P 3 2"'
_cell_length_a 3.2502
_cell_length_b 3.2502
_cell_length_c 12.6242
_cell_angle_alpha 90.00
_cell_angle_beta 90.00
_cell_angle_gamma 120.00
loop_
_atom_site_label
_atom_site_fract_x
_atom_site_fract_y
_atom_site_fract_z
Ta1 0.0000 0.0000 0.0000
Ta2 0.3333 0.6667 0.3641
C1 0.0000 0.0000 0.4409
C2 0.3333 0.6667 0.0998
C3 0.3333 0.6667 0.2041
```

(12)
The following is a PBE calculation of Ta2C after structural relaxation, from Alexandria.

CIF file:
```
data_Ta2C
_symmetry_space_group_name_H-M 'R -3 m'
_symmetry_Int_Tables_number 166
_symmetry_space_group_name_Hall '-R 3 2"'
_cell_length_a 3.1322
_cell_length_b 3.1322
_cell_length_c 14.9843
_cell_angle_alpha 90.00
_cell_angle_beta 90.00
_cell_angle_gamma 120.00
loop_
_atom_site_label
_atom_site_fract_x
_atom_site_fract_y
_atom_site_fract_z
Ta1 0.0000 0.0000 0.2483
C1 0.0000 0.0000 0.5000
```

(13)
The following is a PBE calculation of Ta2C after structural relaxation, from Alexandria.

CIF file:
```
data_Ta2C
_symmetry_space_group_name_H-M 'P 63/m m c'
_symmetry_Int_Tables_number 194
_symmetry_space_group_name_Hall '-P 6c 2c'
_cell_length_a 5.5725
_cell_length_b 5.5725
_cell_length_c 9.4858
_cell_angle_alpha 90.00
_cell_angle_beta 90.00
_cell_angle_gamma 120.00
loop_
_atom_site_label
_atom_site_fract_x
_atom_site_fract_y
_atom_site_fract_z
Ta1 0.0000 0.0000 0.0000
Ta2 0.1696 0.3393 0.2500
C1 0.3333 0.6667 0.1001
```

(14)
The following is a PBE calculation of TaC after structural relaxation, from Alexandria.

Summary:
energy above the most stable polymorph in this dataset: 1.340 eV/atom

CIF file:
```
data_TaC
_symmetry_space_group_name_H-M 'R -3 m'
_symmetry_Int_Tables_number 166
_symmetry_space_group_name_Hall '-R 3 2"'
_cell_length_a 3.1958
_cell_length_b 3.1958
_cell_length_c 15.8216
_cell_angle_alpha 90.00
_cell_angle_beta 90.00
_cell_angle_gamma 120.00
loop_
_atom_site_label
_atom_site_fract_x
_atom_site_fract_y
_atom_site_fract_z
Ta1 0.0000 0.0000 0.0897
C1 0.0000 0.0000 0.3350
```

(15)
The following is a PBE calculation of TaC after structural relaxation, from Alexandria.

Summary:
energy above the most stable polymorph in this dataset: 0.755 eV/atom

CIF file:
```
data_TaC
_symmetry_space_group_name_H-M 'P 4/m m m'
_symmetry_Int_Tables_number 123
_symmetry_space_group_name_Hall '-P 4 2'
_cell_length_a 4.413
_cell_length_b 4.413
_cell_length_c 4.314
_cell_angle_alpha 90.00
_cell_angle_beta 90.00
_cell_angle_gamma 90.00
loop_
_atom_site_label
_atom_site_fract_x
_atom_site_fract_y
_atom_site_fract_z
Ta1 0.000 0.000 0.000
Ta2 0.000 0.500 0.500
C1 0.000 0.000 0.500
C2 0.000 0.500 0.000
```

(16)
The following is a PBE calculation of Ta2C after structural relaxation, from Alexandria.

CIF file:
```
data_Ta2C
_symmetry_space_group_name_H-M 'F m -3 m'
_symmetry_Int_Tables_number 225
_symmetry_space_group_name_Hall '-F 4 2 3'
_cell_length_a 5.538
_cell_length_b 5.538
_cell_length_c 5.538
_cell_angle_alpha 90.00
_cell_angle_beta 90.00
_cell_angle_gamma 90.00
loop_
_atom_site_label
_atom_site_fract_x
_atom_site_fract_y
_atom_site_fract_z
Ta1 0.250 0.250 0.250
C1 0.000 0.000 0.000
```

(17)
The following is a PBE calculation of Ta7C after structural relaxation, from Alexandria.

CIF file:
```
data_Ta7C
_symmetry_space_group_name_H-M 'F m -3 m'
_symmetry_Int_Tables_number 225
_symmetry_space_group_name_Hall '-F 4 2 3'
_cell_length_a 8.200
_cell_length_b 8.200
_cell_length_c 8.200
_cell_angle_alpha 90.00
_cell_angle_beta 90.00
_cell_angle_gamma 90.00
loop_
_atom_site_label
_atom_site_fract_x
_atom_site_fract_y
_atom_site_fract_z
Ta1 0.000 0.000 0.000
Ta2 0.000 0.250 0.250
C1 0.000 0.000 0.500
```

(18)
The following is a PBE calculation of Ta2C3 after structural relaxation, from Alexandria.

Summary:
energy above the most stable polymorph in this dataset: 0.387 eV/atom

CIF file:
```
data_Ta2C3
_symmetry_space_group_name_H-M 'R -3 m'
_symmetry_Int_Tables_number 166
_symmetry_space_group_name_Hall '-R 3 2"'
_cell_length_a 3.2126
_cell_length_b 3.2126
_cell_length_c 24.7250
_cell_angle_alpha 90.00
_cell_angle_beta 90.00
_cell_angle_gamma 120.00
loop_
_atom_site_label
_atom_site_fract_x
_atom_site_fract_y
_atom_site_fract_z
Ta1 0.0000 0.0000 0.1125
C1 0.0000 0.0000 0.2616
C2 0.0000 0.0000 0.5000
```

(19)
The following is a PBE calculation of TaC2 after structural relaxation, from Alexandria.

Summary:
energy above the most stable polymorph in this dataset: 0.169 eV/atom

CIF file:
```
data_TaC2
_symmetry_space_group_name_H-M 'I 4/m c m'
_symmetry_Int_Tables_number 140
_symmetry_space_group_name_Hall '-I 4 2c'
_cell_length_a 4.547
_cell_length_b 4.547
_cell_length_c 5.720
_cell_angle_alpha 90.00
_cell_angle_beta 90.00
_cell_angle_gamma 90.00
loop_
_atom_site_label
_atom_site_fract_x
_atom_site_fract_y
_atom_site_fract_z
Ta1 0.000 0.000 0.250
C1 0.109 0.391 0.000
```

(20)
The following is a PBE calculation of TaC2 after structural relaxation, from Alexandria.

Summary:
energy above the most stable polymorph in this dataset: 0.431 eV/atom

CIF file:
```
data_TaC2
_symmetry_space_group_name_H-M 'P 4/n m m'
_symmetry_Int_Tables_number 129
_cell_length_a 2.973
_cell_length_b 2.973
_cell_length_c 6.588
_cell_angle_alpha 90.00
_cell_angle_beta 90.00
_cell_angle_gamma 90.00
loop_
_symmetry_equiv_pos_as_xyz
'x,y,z'
'-x,-y,-z'
'-y+1/2,x,z'
'y+1/2,-x,-z'
'-x+1/2,-y+1/2,z'
'x+1/2,y+1/2,-z'
'y,-x+1/2,z'
'-y,x+1/2,-z'
'x+1/2,-y,-z'
'-x+1/2,y,z'
'-y,-x,-z'
'y,x,z'
'-x,y+1/2,-z'
'x,-y+1/2,z'
'y+1/2,x+1/2,-z'
'-y+1/2,-x+1/2,z'
loop_
_atom_site_label
_atom_site_fract_x
_atom_site_fract_y
_atom_site_fract_z
Ta1 0.250 0.250 0.230
C1 0.250 0.250 0.876
C2 0.250 0.750 0.500
```

Number 1: spin magnetization 0.00 μB per formula unit, formation energy from the elements 1.94 eV/atom, volume 9.23 Å³/atom. Number 2: spin magnetization 0.00 μB per formula unit, formation energy from the elements 0.59 eV/atom, volume 13.55 Å³/atom. Number 3: spin magnetization 0.00 μB per formula unit, formation energy from the elements 0.06 eV/atom, volume 15.23 Å³/atom. Number 4: spin magnetization 0.00 μB per formula unit, formation energy from the elements 0.87 eV/atom, volume 13.60 Å³/atom. Number 5: spin magnetization 0.00 μB per formula unit, formation energy from the elements -0.29 eV/atom, volume 13.71 Å³/atom. Number 6: spin magnetization 0.00 μB per formula unit, formation energy from the elements 0.41 eV/atom, volume 13.99 Å³/atom. Number 7: spin magnetization 0.00 μB per formula unit, formation energy from the elements 0.20 eV/atom, volume 9.72 Å³/atom. Number 8: spin magnetization 0.00 μB per formula unit, formation energy from the elements 0.19 eV/atom, volume 13.16 Å³/atom. Number 9: spin magnetization 0.00 μB per formula unit, formation energy from the elements 0.09 eV/atom, volume 14.83 Å³/atom. Number 10: spin magnetization 0.00 μB per formula unit, formation energy from the elements 2.13 eV/atom, volume 15.87 Å³/atom. Number 11: spin magnetization 0.00 μB per formula unit, formation energy from the elements 0.61 eV/atom, volume 12.83 Å³/atom. Number 12: spin magnetization 0.00 μB per formula unit, formation energy from the elements -0.46 eV/atom, volume 14.15 Å³/atom. Number 13: spin magnetization 0.00 μB per formula unit, formation energy from the elements 1.78 eV/atom, volume 21.26 Å³/atom. Number 14: spin magnetization 0.00 μB per formula unit, formation energy from the elements 0.76 eV/atom, volume 11.66 Å³/atom. Number 15: spin magnetization 0.00 μB per formula unit, formation energy from the elements 0.18 eV/atom, volume 14.00 Å³/atom. Number 16: spin magnetization 0.00 μB per formula unit, formation energy from the elements 0.42 eV/atom, volume 14.15 Å³/atom. Number 17: spin magnetization 0.00 μB per formula unit, formation energy from the elements 0.68 eV/atom, volume 17.23 Å³/atom. Number 18: spin magnetization 0.00 μB per formula unit, formation energy from the elements 0.71 eV/atom, volume 14.73 Å³/atom. Number 19: spin magnetization 0.00 μB per formula unit, formation energy from the elements 0.37 eV/atom, volume 9.85 Å³/atom. Number 20: spin magnetization 0.00 μB per formula unit, formation energy from the elements 0.64 eV/atom, volume 9.70 Å³/atom.